Material: PuTlPb2Se4
Method: DFT, PBE
State: relaxed

Values from the calculation:
- Energy relative to the elements, uncorrected: -755 meV per atom
- Total magnetic moment: 5.0 μB/cell
- Calculated total energy: -5.512 eV per atom

Lattice parameters (Å, degrees): 7.5023 4.3399 7.6867 90.00 108.80 90.00
Closest atoms and distances in Å follow each position.
Space group P2/m (No. 10)
Symmetry-distinct sites (fractional):
Pu  0.0000  0.0000  0.0000 x1  6 Se 2.95-2.98
Tl  0.0000  0.5000  0.5000 x1  6 Se 3.15-3.16
Pb  0.5000  0.0000  0.5000 x1  6 Se 3.22-3.23
Pb  0.5000  0.5000  0.0000 x1  6 Se 3.04
Se  0.2357  0.5000  0.2276 x2  2 Pu 2.98, 3 Pb 3.04-3.22, 1 Tl 3.15
Se  0.2478  0.0000  0.7702 x2  1 Pu 2.95, 3 Pb 3.04-3.23, 2 Tl 3.16